VASP calculation (GGA-PBE) on a geometry-optimized PaZn2Os structure. Values from VASP.

Cell and atoms, written as Quantum ESPRESSO input:
```
&SYSTEM
  ibrav = 0, nat = 4, ntyp = 3
/
ATOMIC_SPECIES
Zn 65.41 Zn.upf
Pa 231.04 Pa.upf
Os 190.23 Os.upf
ATOMIC_POSITIONS angstrom
Zn -1.3745 -0.2254 8.3635
Zn -0.4579 -0.0750 2.7880
Pa -0.9162 -0.1502 5.5757
Os 0.0000 0.0000 0.0000
CELL_PARAMETERS angstrom
-2.6749 1.5590 3.4228
-0.9891 -2.7344 3.5841
1.8316 0.8750 4.1445
```

Output
Size of the total moment = 0.0 Bohr magnetons per cell
Total energy = -22.96 eV per cell
Relative energy among the computed polymorphs = 0.325 eV/atom
Energy relative to the elements = 0.309 eV/f.u.

VASP calculation (GGA-PBE) on a geometry-optimized VCuNi14 structure. Values from VASP.

Cell and atoms, written as Quantum ESPRESSO input:
```
&SYSTEM
  ibrav = 0, nat = 16, ntyp = 3
/
ATOMIC_SPECIES
V 50.94 V.upf
Cu 63.55 Cu.upf
Ni 58.69 Ni.upf
ATOMIC_POSITIONS angstrom
V -4.9342 -0.2418 -5.1355
Cu -4.0586 -0.0060 -1.7106
Ni -1.5324 -0.4128 -5.9935
Ni -0.6567 -0.1769 -2.5686
Ni -4.4419 1.6415 -3.5586
Ni -1.0400 1.4706 -4.4166
Ni -4.5510 -1.8893 -3.2875
Ni -1.1491 -2.0603 -4.1455
Ni -2.2961 1.6830 -2.2776
Ni -5.7115 1.8546 -1.4162
Ni -2.4057 -1.8666 -2.0051
Ni -5.8211 -1.6950 -1.1437
Ni -2.7910 -0.2103 -3.8627
Ni -6.2064 -0.0387 -3.0012
Ni -1.9108 0.0268 -0.4200
Ni -5.3262 0.1984 0.4414
CELL_PARAMETERS angstrom
-0.7666 3.2949 -3.6959
-0.9847 -3.7667 -3.1538
-6.8038 0.3419 1.7160
```

Output
Size of the total moment = 6.5 Bohr magnetons per cell
Total energy = -94.69 eV per cell
Energy relative to the elements = -0.535 eV/f.u.

VASP calculation (GGA-PBE) on a geometry-optimized Pm15Ho2In2 structure. Values from VASP.

Cell and atoms, written as Quantum ESPRESSO input:
```
&SYSTEM
  ibrav = 0, nat = 19, ntyp = 3
/
ATOMIC_SPECIES
Pm 145.00 Pm.upf
Ho 164.93 Ho.upf
In 114.82 In.upf
ATOMIC_POSITIONS angstrom
Pm -0.9311 -2.9960 3.0259
Pm 0.2166 2.4174 3.6205
Pm -4.2272 0.8222 0.6737
Pm -2.1630 3.9028 5.5194
Pm -6.5287 -0.5863 2.7216
Pm -1.1917 -2.8293 6.3991
Pm -3.7879 -3.7613 4.6775
Pm -0.2373 1.6721 6.8936
Pm -5.8581 2.5764 3.0690
Pm -4.5817 -2.6108 8.3224
Pm -3.5114 2.4373 8.8770
Pm -7.6554 0.9498 6.1290
Pm -5.3016 3.0980 6.3177
Pm -6.3718 -1.9501 5.7632
Pm -2.2279 -0.4626 8.5112
Ho -6.8107 0.3357 10.0887
Ho -3.0726 0.1515 4.5514
In -8.9484 0.4411 13.2554
In -0.9348 0.0461 1.3848
CELL_PARAMETERS angstrom
-8.4543 1.6444 1.3474
-1.8622 -5.9920 6.0517
0.4332 4.8347 7.2410
```

Output
Size of the total moment = 0.0 Bohr magnetons per cell
Total energy = -83.16 eV per cell
Energy relative to the elements = 2.730 eV/f.u.

VASP calculation (GGA-PBE) on a geometry-optimized Al2FeBr structure. Values from VASP.

Cell and atoms, written as Quantum ESPRESSO input:
```
&SYSTEM
  ibrav = 0, nat = 4, ntyp = 3
/
ATOMIC_SPECIES
Fe 55.84 Fe.upf
Br 79.90 Br.upf
Al 26.98 Al.upf
ATOMIC_POSITIONS angstrom
Fe -0.3859 2.4481 1.4370
Br 2.4782 0.0268 1.4370
Al 0.0000 0.0000 0.0000
Al 2.0592 2.4357 -0.0592
CELL_PARAMETERS angstrom
4.9233 0.0144 -0.0592
-0.8049 4.8571 -0.0592
0.0331 0.0392 2.9333
```

Output
Size of the total moment = 2.5 Bohr magnetons per cell
Total energy = -16.32 eV per cell
Relative energy among the computed polymorphs = 0.403 eV/atom
Formation energy without anion corrections = 7.5 kcal/mol of atoms

VASP calculation (GGA-PBE) on a geometry-optimized TbNdZnFe structure. Values from VASP.

Cell and atoms, written as Quantum ESPRESSO input:
```
&SYSTEM
  ibrav = 0, nat = 4, ntyp = 4
/
ATOMIC_SPECIES
Nd 144.24 Nd.upf
Zn 65.41 Zn.upf
Tb 158.93 Tb.upf
Fe 55.84 Fe.upf
ATOMIC_POSITIONS angstrom
Nd 0.0000 0.0000 0.0000
Zn -5.6529 6.9593 -2.0951
Tb -3.7686 4.6395 -1.3967
Fe -1.8843 2.3198 -0.6984
CELL_PARAMETERS angstrom
-0.2898 4.5562 -2.0677
-4.0793 1.3191 -2.5957
-3.1681 3.4037 1.8700
```

Output
Size of the total moment = 1.4 Bohr magnetons per cell
Total energy = -19.20 eV per cell
Energy relative to the elements = -0.068 eV/f.u.

VASP calculation (GGA-PBE) on a geometry-optimized SrAcMg structure. Values from VASP.

Cell and atoms, written as Quantum ESPRESSO input:
```
&SYSTEM
  ibrav = 0, nat = 6, ntyp = 3
/
ATOMIC_SPECIES
Sr 87.62 Sr.upf
Ac 227.00 Ac.upf
Mg 24.30 Mg.upf
ATOMIC_POSITIONS angstrom
Sr -5.5594 0.2497 11.4994
Sr -1.6311 1.8186 0.9115
Ac -4.2508 -0.2467 7.5697
Ac -2.9397 2.3151 4.8411
Mg -4.4268 2.8792 9.3068
Mg -2.7637 -0.8109 3.1041
CELL_PARAMETERS angstrom
-2.2667 3.2595 -1.1666
-3.2094 -2.5013 -0.7527
-4.4525 1.6892 13.3705
```

Output
Size of the total moment = 0.0 Bohr magnetons per cell
Total energy = -15.01 eV per cell
Relative energy among the computed polymorphs = 0.000 eV/atom
Energy relative to the elements = -0.120 eV/f.u.

VASP calculation (GGA-PBE) on a geometry-optimized Tl5Zn4Sb4 structure. Values from VASP.

Cell and atoms, written as Quantum ESPRESSO input:
```
&SYSTEM
  ibrav = 0, nat = 13, ntyp = 3
/
ATOMIC_SPECIES
Tl 204.38 Tl.upf
Zn 65.41 Zn.upf
Sb 121.76 Sb.upf
ATOMIC_POSITIONS angstrom
Tl 5.0413 8.4611 7.7727
Tl 1.5031 0.6463 3.2884
Tl 0.0000 0.0000 0.0000
Tl 4.2350 6.2907 1.7436
Tl 2.3094 2.8167 9.3175
Zn 4.9906 4.6342 7.9723
Zn 3.2524 2.6107 5.6086
Zn 1.5538 4.4732 3.0889
Zn 3.2920 6.4967 5.4526
Sb 3.9054 3.1308 3.0401
Sb 2.6390 5.9766 8.0210
Sb 5.8200 7.1234 4.7102
Sb 0.7244 1.9840 6.3509
CELL_PARAMETERS angstrom
4.3943 0.0000 1.1173
2.1972 9.1074 0.5586
-0.0470 0.0000 9.3852
```

Output
Size of the total moment = 0.0 Bohr magnetons per cell
Total energy = -33.53 eV per cell
Formation energy without anion corrections = -0.2 kcal/mol of atoms

VASP calculation (GGA-PBE) on a geometry-optimized Ca3Ag2Pd structure. Values from VASP.

Cell and atoms, written as Quantum ESPRESSO input:
```
&SYSTEM
  ibrav = 0, nat = 6, ntyp = 3
/
ATOMIC_SPECIES
Ca 40.08 Ca.upf
Ag 107.87 Ag.upf
Pd 106.42 Pd.upf
ATOMIC_POSITIONS angstrom
Ca 0.0000 0.0000 0.0000
Ca 0.0000 0.0000 7.1080
Ca 0.0000 0.0000 3.7357
Ag 1.8354 1.8354 8.9781
Ag 1.8354 1.8354 1.8656
Pd 1.8354 1.8354 5.4219
CELL_PARAMETERS angstrom
3.6709 0.0000 0.0000
0.0000 3.6709 0.0000
0.0000 0.0000 10.8437
```

Output
Size of the total moment = 0.0 Bohr magnetons per cell
Total energy = -19.54 eV per cell
Energy relative to the elements = -2.643 eV/f.u.

Question: Which formula does entry 6 have?
Answer: SrAcMg

Question: Which formula does entry 6 have?
Answer: SrAcMg